VASP calculation (PBE-GGA) on HfNiCl2 after structural relaxation. Values from VASP.

The structure in Quantum ESPRESSO input format:
```
&SYSTEM
  ibrav = 0, nat = 8, ntyp = 3
/
ATOMIC_SPECIES
Hf 178.49 Hf.upf
Ni 58.69 Ni.upf
Cl 35.45 Cl.upf
ATOMIC_POSITIONS crystal
Hf 0.0000 0.0000 0.0000
Hf 0.7500 0.2500 0.5000
Ni 0.2500 0.7500 0.5000
Ni 0.5000 0.5000 0.0000
Cl 0.1677 0.6250 0.0427
Cl 0.3750 0.4177 0.5427
Cl 0.5823 0.1250 0.9573
Cl 0.8750 0.8323 0.4573
CELL_PARAMETERS angstrom
-2.8654 2.8654 4.8450
2.8654 -2.8654 4.8450
2.8654 2.8654 -4.8450
```

The total magnetization is 2.48 μB per cell. For the uncorrected formation energy, the calculation gives -0.013 eV per atom. The density of states at the Fermi level is 3.45 states/eV/f.u.